Model 1:
Density functional theory data (PBE-GGA) for La6CdHg after structural relaxation.

abc: 6.4381 6.4437 6.4485
angles: 92.78 92.90 93.05
Space group P-1 (No. 2)
Inequivalent atoms, fractional coordinates:
La (0.0312, 0.2499, 0.0471) (multiplicity 2)
La (0.2496, 0.9535, 0.4663) (multiplicity 2)
La (0.4544, 0.4674, 0.7492) (multiplicity 2)
Cd (0.5000, 0.0000, 0.0000) (multiplicity 1)
Hg (0.0000, 0.5000, 0.5000) (multiplicity 1)

Calculated values
**Magnetic moment**: 0.00 μB/atom
**D(E_F)**: 10.2 states/eV/f.u.
**Crystal system**: triclinic
**V**: 33.31 Å³ per atom

=====

Model 2:
Density functional theory data (PBE-GGA) for La6CdHg after structural relaxation.

abc: 5.4229 5.4229 18.1860
angles: 90.00 90.00 90.00
Space group I4/mmm (No. 139)
Inequivalent atoms, fractional coordinates:
La (0.0000, 0.0000, 0.2492) (multiplicity 4)
La (0.0000, 0.5000, 0.1112) (multiplicity 8)
Cd (0.0000, 0.0000, 0.0000) (multiplicity 2)
Hg (0.0000, 0.0000, 0.5000) (multiplicity 2)

Calculated values
**Magnetic moment**: 0.00 μB/atom
**D(E_F)**: 11.3 states/eV/f.u.
**Crystal system**: tetragonal
**V**: 33.43 Å³ per atom

=====

The relative energies come out as model 1 7.2; model 2 0.0, with values in kJ/mol of atoms.

=====

Model 1:
Density functional theory data (PBE-GGA) for LaCdHg3 after structural relaxation.

abc: 5.1956 5.2956 9.7005
angles: 90.00 105.43 90.00
Space group P2_1/m (No. 11)
Inequivalent atoms, fractional coordinates:
La (0.1501, 0.2500, 0.2993) (multiplicity 2)
Cd (0.3480, 0.2500, 0.6981) (multiplicity 2)
Hg (0.0453, 0.7500, 0.0915) (multiplicity 2)
Hg (0.2492, 0.7500, 0.4959) (multiplicity 2)
Hg (0.4518, 0.7500, 0.9073) (multiplicity 2)

Calculated values
**Magnetic moment**: 0.00 μB/atom
**D(E_F)**: 2.2 states/eV/f.u.
**Crystal system**: monoclinic
**V**: 25.73 Å³ per atom

=====

Model 2:
Density functional theory data (PBE-GGA) for LaCdHg3 after structural relaxation.

abc: 5.3368 5.3368 5.3368
angles: 90.00 90.00 90.00
Space group Pm-3m (No. 221)
Inequivalent atoms, fractional coordinates:
La (0.0000, 0.0000, 0.0000) (multiplicity 1)
Cd (0.5000, 0.5000, 0.5000) (multiplicity 1)
Hg (0.0000, 0.5000, 0.5000) (multiplicity 3)

Calculated values
**Magnetic moment**: 0.00 μB/atom
**D(E_F)**: 5.5 states/eV/f.u.
**Crystal system**: cubic
**V**: 30.40 Å³ per atom

=====

The relative energies come out as model 1 0.0; model 2 41.0, with values in kJ/mol of atoms.

=====

Model 1:
Density functional theory data (PBE-GGA) for La2CdHg3 after structural relaxation.

abc: 7.1434 10.1869 17.6986
angles: 90.00 90.00 90.00
Space group Fmmm (No. 69)
Inequivalent atoms, fractional coordinates:
La (0.2426, 0.0000, 0.0000) (multiplicity 8)
La (0.2500, 0.2500, 0.2500) (multiplicity 8)
Cd (0.0000, 0.0000, 0.3336) (multiplicity 8)
Hg (0.0000, 0.0000, 0.1683) (multiplicity 8)
Hg (0.0000, 0.2466, 0.4161) (multiplicity 16)

Calculated values
**Magnetic moment**: 0.01 μB/atom
**D(E_F)**: 4.6 states/eV/f.u.
**Crystal system**: orthorhombic
**V**: 26.83 Å³ per atom

=====

Model 2:
Density functional theory data (PBE-GGA) for La2CdHg3 after structural relaxation.

abc: 3.9642 4.8253 18.3763
angles: 90.00 90.00 90.00
Space group Imm2 (No. 44)
Inequivalent atoms, fractional coordinates:
La (0.0000, 0.0000, 0.0000) (multiplicity 2)
La (0.0000, 0.5000, 0.2272) (multiplicity 2)
Cd (0.0000, 0.0000, 0.4143) (multiplicity 2)
Hg (0.0000, 0.0000, 0.5696) (multiplicity 2)
Hg (0.0000, 0.5000, 0.6521) (multiplicity 2)
Hg (0.0000, 0.5000, 0.8084) (multiplicity 2)

Calculated values
**Magnetic moment**: 0.05 μB/atom
**D(E_F)**: 5.2 states/eV/f.u.
**Crystal system**: orthorhombic
**V**: 29.29 Å³ per atom

=====

The relative energies come out as model 1 0.0; model 2 12.7, with values in kJ/mol of atoms.

=====

Model 1:
Density functional theory data (PBE-GGA) for La3CdHg after structural relaxation.

abc: 5.5633 20.3244 5.5598
angles: 90.00 90.00 90.00
Space group Cmcm (No. 63)
Inequivalent atoms, fractional coordinates:
La (0.0000, 0.0596, 0.2500) (multiplicity 4)
La (0.0000, 0.2497, 0.2500) (multiplicity 4)
La (0.0000, 0.4389, 0.2500) (multiplicity 4)
Cd (0.0000, 0.1511, 0.7500) (multiplicity 4)
Hg (0.0000, 0.3494, 0.7500) (multiplicity 4)

Calculated values
**Magnetic moment**: 0.13 μB/atom
**D(E_F)**: 6.2 states/eV/f.u.
**Crystal system**: orthorhombic
**V**: 31.43 Å³ per atom

=====

Model 2:
Density functional theory data (PBE-GGA) for La3CdHg after structural relaxation.

abc: 7.5896 9.6572 17.2805
angles: 90.00 90.00 90.00
Space group Fmmm (No. 69)
Inequivalent atoms, fractional coordinates:
La (0.0000, 0.0000, 0.1906) (multiplicity 8)
La (0.0000, 0.1874, 0.4055) (multiplicity 16)
Cd (0.1872, 0.0000, 0.0000) (multiplicity 8)
Hg (0.2500, 0.2500, 0.2500) (multiplicity 8)

Calculated values
**Magnetic moment**: 0.00 μB/atom
**D(E_F)**: 5.5 states/eV/f.u.
**Crystal system**: orthorhombic
**V**: 31.66 Å³ per atom

=====

The relative energies come out as model 1 0.0; model 2 3.1, with values in kJ/mol of atoms.

=====

Model 1:
Density functional theory data (PBE-GGA) for La8Cd2Hg after structural relaxation.

abc: 16.9884 5.6439 9.0101
angles: 90.00 121.50 90.00
Space group C2/m (No. 12)
Inequivalent atoms, fractional coordinates:
La (0.0730, 0.0000, 0.2233) (multiplicity 4)
La (0.0905, 0.5000, 0.9459) (multiplicity 4)
La (0.1368, 0.0000, 0.6878) (multiplicity 4)
La (0.1806, 0.5000, 0.4513) (multiplicity 4)
Cd (0.2291, 0.0000, 0.1150) (multiplicity 4)
Hg (0.0000, 0.5000, 0.5000) (multiplicity 2)

Calculated values
**Magnetic moment**: 0.00 μB/atom
**D(E_F)**: 12.3 states/eV/f.u.
**Crystal system**: monoclinic
**V**: 33.48 Å³ per atom

=====

Model 2:
Density functional theory data (PBE-GGA) for La8Cd2Hg after structural relaxation.

abc: 18.9147 5.3633 7.7073
angles: 90.00 109.88 90.00
Space group C2/m (No. 12)
Inequivalent atoms, fractional coordinates:
La (0.0172, 0.0000, 0.2614) (multiplicity 4)
La (0.0871, 0.5000, 0.9551) (multiplicity 4)
La (0.1660, 0.5000, 0.4588) (multiplicity 4)
La (0.1955, 0.0000, 0.7914) (multiplicity 4)
Cd (0.1799, 0.0000, 0.1946) (multiplicity 4)
Hg (0.0000, 0.5000, 0.5000) (multiplicity 2)

Calculated values
**Magnetic moment**: 0.00 μB/atom
**D(E_F)**: 12.6 states/eV/f.u.
**Crystal system**: monoclinic
**V**: 33.42 Å³ per atom

=====

The relative energies come out as model 1 0.0; model 2 1.8, with values in kJ/mol of atoms.

=====

Model 1:
Density functional theory data (PBE-GGA) for LaCd12Hg6 after structural relaxation.

abc: 12.6323 12.6323 10.3078
angles: 90.00 90.00 120.00
Space group R-3 (No. 148, hexagonal axes)
Inequivalent atoms, fractional coordinates:
La (0.0000, 0.0000, 0.0000) (multiplicity 3)
Cd (0.9995, 0.2686, 0.9999) (multiplicity 18)
Cd (0.0667, 0.5338, 0.1221) (multiplicity 18)
Hg (0.0856, 0.9132, 0.7454) (multiplicity 18)

Calculated values
**Magnetic moment**: 0.00 μB/atom
**D(E_F)**: 4.8 states/eV/f.u.
**Crystal system**: trigonal
**V**: 24.99 Å³ per atom

=====

Model 2:
Density functional theory data (PBE-GGA) for LaCd12Hg6 after structural relaxation.

abc: 13.1447 13.1447 9.7951
angles: 90.00 90.00 120.00
Space group R-3m (No. 166, hexagonal axes)
Inequivalent atoms, fractional coordinates:
La (0.0000, 0.0000, 0.0000) (multiplicity 3)
Cd (0.0000, 0.3914, 0.5000) (multiplicity 18)
Cd (0.0789, 0.1577, 0.2970) (multiplicity 18)
Hg (0.0466, 0.5233, 0.2314) (multiplicity 18)

Calculated values
**Magnetic moment**: 0.00 μB/atom
**D(E_F)**: 7.7 states/eV/f.u.
**Crystal system**: trigonal
**V**: 25.71 Å³ per atom

=====

The relative energies come out as model 1 0.0; model 2 6.8, with values in kJ/mol of atoms.